Mn2Tl2Se2O | the Alexandria database | PBE+U | relaxed; total DFT energy (no corrections) = -5.29 eV per atom; symmetry = I4/mmm
1.0
-2.154 2.154 8.887
2.154 -2.154 8.887
2.154 2.154 -8.887
Mn Tl Se O
2 2 2 1
Direct
0.000 0.500 0.500 Mn
0.500 0.000 0.500 Mn
0.173 0.173 0.000 Tl
0.827 0.827 0.000 Tl
0.394 0.394 0.000 Se
0.606 0.606 0.000 Se
0.000 0.000 0.000 O